Entry 1:
Density functional theory data (GGA-PBE) for a relaxed AcHoNi2P2 crystal.

Unit cell a=3.9820 b=3.9820 c=8.1489 alpha=90.00 beta=90.00 gamma=120.00
Space group P-3m1 (No. 164)
Unique sites:
Ac: 0.0000 0.0000 0.0000
Ho: 0.0000 0.0000 0.5000
Ni: 0.3333 0.6667 0.7319
P: 0.3333 0.6667 0.2754

Its crystal system is trigonal. The calculation puts the formation energy at -6.79 eV per formula unit. Its uncorrected energy is -6.31 eV/atom.

Entry 2:
Density functional theory data (GGA-PBE) for a relaxed LuCdCu2 crystal.

Unit cell a=3.346 b=3.346 c=6.459 alpha=90.00 beta=90.00 gamma=90.00
Space group P4/mmm (No. 123)
Unique sites:
Lu: 0.000 0.000 0.000
Cd: 0.000 0.000 0.500
Cu: 0.500 0.500 0.254

Its crystal system is tetragonal. The calculation puts the formation energy at -0.53 eV per formula unit. Its uncorrected energy is -3.54 eV/atom.